# DyScPSe, optimized geometry, DFT GGA-PBE
# Formation energy (no corrections)   -159 kJ per mole of atoms
data_DyScPSe
_cell_length_a 3.8559
_cell_length_b 3.8559
_cell_length_c 20.2270
_cell_angle_alpha 90.00
_cell_angle_beta 90.00
_cell_angle_gamma 120.00
_symmetry_space_group_name_H-M 'R 3 m'
_symmetry_Int_Tables_number 160
_symmetry_space_group_name_Hall 'R 3 -2"'
loop_
_atom_site_label
_atom_site_type_symbol
_atom_site_fract_x
_atom_site_fract_y
_atom_site_fract_z
_atom_site_occupancy
Dy1 Dy 0.0000 0.0000 0.0000 1
Sc1 Sc 0.0000 0.0000 0.8151 1
P1 P 0.0000 0.0000 0.4146 1
Se1 Se 0.0000 0.0000 0.2360 1

# Sm2DyScP4, optimized geometry, DFT GGA-PBE
# Energy of formation from the pure elements   -1534 meV/atom
data_Sm2DyScP4
_cell_length_a 6.919
_cell_length_b 4.005
_cell_length_c 6.927
_cell_angle_alpha 90.00
_cell_angle_beta 109.50
_cell_angle_gamma 90.00
_symmetry_space_group_name_H-M 'P 1 2/m 1'
_symmetry_Int_Tables_number 10
_symmetry_space_group_name_Hall '-P 2y'
loop_
_atom_site_label
_atom_site_type_symbol
_atom_site_fract_x
_atom_site_fract_y
_atom_site_fract_z
_atom_site_occupancy
Sm1 Sm 0.000 0.000 0.000 1
Sm2 Sm 0.000 0.500 0.500 1
Dy1 Dy 0.500 0.000 0.500 1
Sc1 Sc 0.500 0.500 0.000 1
P1 P 0.261 0.500 0.247 1
P2 P 0.266 0.000 0.762 1

# TbDy2Sc3P6, optimized geometry, DFT GGA-PBE
# Energy of formation from the pure elements   -1536 meV/atom
data_TbDy2Sc3P6
_cell_length_a 6.741
_cell_length_b 11.676
_cell_length_c 6.717
_cell_angle_alpha 90.00
_cell_angle_beta 109.52
_cell_angle_gamma 90.00
_symmetry_space_group_name_H-M 'C 1 2/m 1'
_symmetry_Int_Tables_number 12
_symmetry_space_group_name_Hall '-C 2y'
loop_
_atom_site_label
_atom_site_type_symbol
_atom_site_fract_x
_atom_site_fract_y
_atom_site_fract_z
_atom_site_occupancy
Tb1 Tb 0.000 0.000 0.000 1
Dy1 Dy 0.000 0.333 0.000 1
Sc1 Sc 0.000 0.167 0.500 1
Sc2 Sc 0.000 0.500 0.500 1
P1 P 0.244 0.333 0.734 1
P2 P 0.245 0.000 0.734 1

# DyScTeP, optimized geometry, DFT GGA-PBE
# Formation energy (no corrections)   -137 kJ per mole of atoms
data_DyScTeP
_cell_length_a 3.9671
_cell_length_b 3.9671
_cell_length_c 21.1364
_cell_angle_alpha 90.00
_cell_angle_beta 90.00
_cell_angle_gamma 120.00
_symmetry_space_group_name_H-M 'R 3 m'
_symmetry_Int_Tables_number 160
_symmetry_space_group_name_Hall 'R 3 -2"'
loop_
_atom_site_label
_atom_site_type_symbol
_atom_site_fract_x
_atom_site_fract_y
_atom_site_fract_z
_atom_site_occupancy
Dy1 Dy 0.0000 0.0000 0.0000 1
Sc1 Sc 0.0000 0.0000 0.1952 1
Te1 Te 0.0000 0.0000 0.4346 1
P1 P 0.0000 0.0000 0.5948 1

# Dy2ThScP4, optimized geometry, DFT GGA-PBE
# Energy of formation from the pure elements   -1551 meV/atom
data_Dy2ThScP4
_cell_length_a 6.889
_cell_length_b 4.004
_cell_length_c 6.928
_cell_angle_alpha 90.00
_cell_angle_beta 109.45
_cell_angle_gamma 90.00
_symmetry_space_group_name_H-M 'P 1 2/m 1'
_symmetry_Int_Tables_number 10
_symmetry_space_group_name_Hall '-P 2y'
loop_
_atom_site_label
_atom_site_type_symbol
_atom_site_fract_x
_atom_site_fract_y
_atom_site_fract_z
_atom_site_occupancy
Dy1 Dy 0.000 0.000 0.000 1
Dy2 Dy 0.500 0.500 0.000 1
Th1 Th 0.000 0.500 0.500 1
Sc1 Sc 0.500 0.000 0.500 1
P1 P 0.260 0.000 0.751 1
P2 P 0.262 0.500 0.257 1

# DyTm2ScP4, optimized geometry, DFT GGA-PBE
# Energy of formation from the pure elements   -1563 meV/atom
data_DyTm2ScP4
_cell_length_a 6.783
_cell_length_b 3.921
_cell_length_c 6.787
_cell_angle_alpha 90.00
_cell_angle_beta 109.47
_cell_angle_gamma 90.00
_symmetry_space_group_name_H-M 'P 1 2/m 1'
_symmetry_Int_Tables_number 10
_symmetry_space_group_name_Hall '-P 2y'
loop_
_atom_site_label
_atom_site_type_symbol
_atom_site_fract_x
_atom_site_fract_y
_atom_site_fract_z
_atom_site_occupancy
Dy1 Dy 0.000 0.000 0.000 1
Tm1 Tm 0.000 0.500 0.500 1
Tm2 Tm 0.500 0.000 0.500 1
Sc1 Sc 0.500 0.500 0.000 1
P1 P 0.256 0.500 0.249 1
P2 P 0.259 0.000 0.756 1

# Dy2TmSc3P6, optimized geometry, DFT GGA-PBE
# Energy of formation from the pure elements   -1537 meV/atom
data_Dy2TmSc3P6
_cell_length_a 6.716
_cell_length_b 11.632
_cell_length_c 6.696
_cell_angle_alpha 90.00
_cell_angle_beta 109.51
_cell_angle_gamma 90.00
_symmetry_space_group_name_H-M 'C 1 2/m 1'
_symmetry_Int_Tables_number 12
_symmetry_space_group_name_Hall '-C 2y'
loop_
_atom_site_label
_atom_site_type_symbol
_atom_site_fract_x
_atom_site_fract_y
_atom_site_fract_z
_atom_site_occupancy
Dy1 Dy 0.000 0.167 0.000 1
Tm1 Tm 0.000 0.500 0.000 1
Sc1 Sc 0.000 0.000 0.500 1
Sc2 Sc 0.000 0.333 0.500 1
P1 P 0.243 0.500 0.736 1
P2 P 0.246 0.166 0.736 1

# DyTm2Sc3P6, optimized geometry, DFT GGA-PBE
# Energy of formation from the pure elements   -1538 meV/atom
data_DyTm2Sc3P6
_cell_length_a 6.698
_cell_length_b 11.600
_cell_length_c 6.681
_cell_angle_alpha 90.00
_cell_angle_beta 109.50
_cell_angle_gamma 90.00
_symmetry_space_group_name_H-M 'C 1 2/m 1'
_symmetry_Int_Tables_number 12
_symmetry_space_group_name_Hall '-C 2y'
loop_
_atom_site_label
_atom_site_type_symbol
_atom_site_fract_x
_atom_site_fract_y
_atom_site_fract_z
_atom_site_occupancy
Dy1 Dy 0.000 0.000 0.000 1
Tm1 Tm 0.000 0.333 0.000 1
Sc1 Sc 0.000 0.166 0.500 1
Sc2 Sc 0.000 0.500 0.500 1
P1 P 0.245 0.332 0.737 1
P2 P 0.248 0.000 0.737 1

# DySc2UP4, optimized geometry, DFT GGA-PBE
# Energy of formation from the pure elements   -1386 meV/atom
data_DySc2UP4
_cell_length_a 6.657
_cell_length_b 3.860
_cell_length_c 6.709
_cell_angle_alpha 90.00
_cell_angle_beta 109.35
_cell_angle_gamma 90.00
_symmetry_space_group_name_H-M 'P 1 2/m 1'
_symmetry_Int_Tables_number 10
_symmetry_space_group_name_Hall '-P 2y'
loop_
_atom_site_label
_atom_site_type_symbol
_atom_site_fract_x
_atom_site_fract_y
_atom_site_fract_z
_atom_site_occupancy
Dy1 Dy 0.000 0.000 0.000 1
Sc1 Sc 0.500 0.000 0.500 1
Sc2 Sc 0.500 0.500 0.000 1
U1 U 0.000 0.500 0.500 1
P1 P 0.261 0.500 0.259 1
P2 P 0.262 0.000 0.751 1

# DyYSc2P4, optimized geometry, DFT GGA-PBE
# Energy of formation from the pure elements   -1540 meV/atom
data_DyYSc2P4
_cell_length_a 6.717
_cell_length_b 3.891
_cell_length_c 6.735
_cell_angle_alpha 90.00
_cell_angle_beta 109.54
_cell_angle_gamma 90.00
_symmetry_space_group_name_H-M 'P 1 2/m 1'
_symmetry_Int_Tables_number 10
_symmetry_space_group_name_Hall '-P 2y'
loop_
_atom_site_label
_atom_site_type_symbol
_atom_site_fract_x
_atom_site_fract_y
_atom_site_fract_z
_atom_site_occupancy
Dy1 Dy 0.000 0.000 0.000 1
Y1 Y 0.000 0.500 0.500 1
Sc1 Sc 0.500 0.000 0.500 1
Sc2 Sc 0.500 0.500 0.000 1
P1 P 0.266 0.000 0.756 1
P2 P 0.266 0.500 0.255 1

# Dy2YSc3P6, optimized geometry, DFT GGA-PBE
# Energy of formation from the pure elements   -1539 meV/atom
data_Dy2YSc3P6
_cell_length_a 6.736
_cell_length_b 11.667
_cell_length_c 6.714
_cell_angle_alpha 90.00
_cell_angle_beta 109.52
_cell_angle_gamma 90.00
_symmetry_space_group_name_H-M 'C 1 2/m 1'
_symmetry_Int_Tables_number 12
_symmetry_space_group_name_Hall '-C 2y'
loop_
_atom_site_label
_atom_site_type_symbol
_atom_site_fract_x
_atom_site_fract_y
_atom_site_fract_z
_atom_site_occupancy
Dy1 Dy 0.000 0.167 0.000 1
Y1 Y 0.000 0.500 0.000 1
Sc1 Sc 0.000 0.000 0.500 1
Sc2 Sc 0.000 0.333 0.500 1
P1 P 0.245 0.167 0.735 1
P2 P 0.245 0.500 0.734 1

# Dy2YScP4, optimized geometry, DFT GGA-PBE
# Energy of formation from the pure elements   -1567 meV/atom
data_Dy2YScP4
_cell_length_a 6.839
_cell_length_b 3.954
_cell_length_c 6.840
_cell_angle_alpha 90.00
_cell_angle_beta 109.48
_cell_angle_gamma 90.00
_symmetry_space_group_name_H-M 'P 1 2/m 1'
_symmetry_Int_Tables_number 10
_symmetry_space_group_name_Hall '-P 2y'
loop_
_atom_site_label
_atom_site_type_symbol
_atom_site_fract_x
_atom_site_fract_y
_atom_site_fract_z
_atom_site_occupancy
Dy1 Dy 0.000 0.000 0.000 1
Dy2 Dy 0.000 0.500 0.500 1
Y1 Y 0.500 0.000 0.500 1
Sc1 Sc 0.500 0.500 0.000 1
P1 P 0.254 0.500 0.245 1
P2 P 0.260 0.000 0.760 1

# DyZr2ScP4, optimized geometry, DFT GGA-PBE
# Energy of formation from the pure elements   -1447 meV/atom
data_DyZr2ScP4
_cell_length_a 6.571
_cell_length_b 3.792
_cell_length_c 6.647
_cell_angle_alpha 90.00
_cell_angle_beta 109.29
_cell_angle_gamma 90.00
_symmetry_space_group_name_H-M 'P 1 2/m 1'
_symmetry_Int_Tables_number 10
_symmetry_space_group_name_Hall '-P 2y'
loop_
_atom_site_label
_atom_site_type_symbol
_atom_site_fract_x
_atom_site_fract_y
_atom_site_fract_z
_atom_site_occupancy
Dy1 Dy 0.000 0.000 0.000 1
Zr1 Zr 0.000 0.500 0.500 1
Zr2 Zr 0.500 0.000 0.500 1
Sc1 Sc 0.500 0.500 0.000 1
P1 P 0.255 0.000 0.746 1
P2 P 0.259 0.500 0.259 1

# Dy3P2Se, optimized geometry, DFT GGA-PBE
# Formation energy (no corrections)   -112 kJ per mole of atoms
data_Dy3P2Se
_cell_length_a 7.174
_cell_length_b 10.719
_cell_length_c 8.622
_cell_angle_alpha 90.00
_cell_angle_beta 90.00
_cell_angle_gamma 90.00
_symmetry_space_group_name_H-M 'I m m a'
_symmetry_Int_Tables_number 74
_symmetry_space_group_name_Hall '-I 2b 2'
loop_
_atom_site_label
_atom_site_type_symbol
_atom_site_fract_x
_atom_site_fract_y
_atom_site_fract_z
_atom_site_occupancy
Dy1 Dy 0.229 0.000 0.000 1
Dy2 Dy 0.250 0.250 0.250 1
P1 P 0.000 0.049 0.287 1
Se1 Se 0.000 0.250 0.961 1

# Dy3P5Se12, optimized geometry, DFT GGA-PBE
# Formation energy (no corrections)   -50 kJ per mole of atoms
data_Dy3P5Se12
_cell_length_a 15.891
_cell_length_b 15.891
_cell_length_c 15.891
_cell_angle_alpha 90.00
_cell_angle_beta 90.00
_cell_angle_gamma 90.00
_symmetry_space_group_name_H-M 'I a -3 d'
_symmetry_Int_Tables_number 230
_symmetry_space_group_name_Hall '-I 4bd 2c 3'
loop_
_atom_site_label
_atom_site_type_symbol
_atom_site_fract_x
_atom_site_fract_y
_atom_site_fract_z
_atom_site_occupancy
Dy1 Dy 0.000 0.250 0.125 1
P1 P 0.000 0.000 0.000 1
P2 P 0.000 0.250 0.375 1
Se1 Se 0.023 0.059 0.650 1

# Dy3P2Se2, optimized geometry, DFT GGA-PBE
# Formation energy (no corrections)   -136 kJ per mole of atoms
data_Dy3P2Se2
_cell_length_a 14.559
_cell_length_b 4.015
_cell_length_c 7.106
_cell_angle_alpha 90.00
_cell_angle_beta 114.08
_cell_angle_gamma 90.00
_symmetry_space_group_name_H-M 'C 1 2/m 1'
_symmetry_Int_Tables_number 12
_symmetry_space_group_name_Hall '-C 2y'
loop_
_atom_site_label
_atom_site_type_symbol
_atom_site_fract_x
_atom_site_fract_y
_atom_site_fract_z
_atom_site_occupancy
Dy1 Dy 0.000 0.000 0.000 1
Dy2 Dy 0.226 0.500 0.730 1
P1 P 0.140 0.500 0.018 1
Se1 Se 0.121 0.000 0.441 1

# Dy6P5Se, optimized geometry, DFT GGA-PBE
# Formation energy (no corrections)   -164 kJ per mole of atoms
data_Dy6P5Se
_cell_length_a 6.963
_cell_length_b 12.050
_cell_length_c 6.964
_cell_angle_alpha 90.00
_cell_angle_beta 109.47
_cell_angle_gamma 90.00
_symmetry_space_group_name_H-M 'C 1 2/m 1'
_symmetry_Int_Tables_number 12
_symmetry_space_group_name_Hall '-C 2y'
loop_
_atom_site_label
_atom_site_type_symbol
_atom_site_fract_x
_atom_site_fract_y
_atom_site_fract_z
_atom_site_occupancy
Dy1 Dy 0.243 0.000 0.255 1
Dy2 Dy 0.244 0.171 0.745 1
P1 P 0.000 0.000 0.500 1
P2 P 0.000 0.167 0.000 1
P3 P 0.000 0.336 0.500 1
Se1 Se 0.000 0.500 0.000 1

# Dy5PSe5, optimized geometry, DFT GGA-PBE
# Formation energy (no corrections)   -179 kJ per mole of atoms
data_Dy5PSe5
_cell_length_a 12.839
_cell_length_b 5.737
_cell_length_c 8.090
_cell_angle_alpha 90.00
_cell_angle_beta 108.53
_cell_angle_gamma 90.00
_symmetry_space_group_name_H-M 'C 1 2/m 1'
_symmetry_Int_Tables_number 12
_symmetry_space_group_name_Hall '-C 2y'
loop_
_atom_site_label
_atom_site_type_symbol
_atom_site_fract_x
_atom_site_fract_y
_atom_site_fract_z
_atom_site_occupancy
Dy1 Dy 0.000 0.000 0.000 1
Dy2 Dy 0.158 0.500 0.833 1
Dy3 Dy 0.160 0.500 0.327 1
P1 P 0.000 0.500 0.000 1
Se1 Se 0.000 0.500 0.500 1
Se2 Se 0.168 0.000 0.833 1
Se3 Se 0.169 0.000 0.334 1

# Dy8PSe6, optimized geometry, DFT GGA-PBE
# Formation energy (no corrections)   -125 kJ per mole of atoms
data_Dy8PSe6
_cell_length_a 10.2594
_cell_length_b 10.2594
_cell_length_c 4.1044
_cell_angle_alpha 90.00
_cell_angle_beta 90.00
_cell_angle_gamma 120.00
_symmetry_space_group_name_H-M 'P -3'
_symmetry_Int_Tables_number 147
_symmetry_space_group_name_Hall '-P 3'
loop_
_atom_site_label
_atom_site_type_symbol
_atom_site_fract_x
_atom_site_fract_y
_atom_site_fract_z
_atom_site_occupancy
Dy1 Dy 0.0281 0.2991 0.2383 1
Dy2 Dy 0.3333 0.6667 0.7549 1
P1 P 0.0000 0.0000 0.0000 1
Se1 Se 0.1277 0.6505 0.2544 1

Calculated total energy across the listed records, respectively: -0.4856 -0.4987 -0.5127 -0.4626 -0.5237 -0.4963 -0.5119 -0.5111 -0.5630 -0.5300 -0.5242 -0.5161 -0.5627 -0.4300 -0.3417 -0.4356 -0.4810 -0.4424 -0.4043 Ry per atom.
Density of states at the Fermi level across the listed records, respectively: 0.6316 0.0929 0.1725 0.6546 0.1844 0.1179 0.1714 0.1705 0.7938 0.1240 0.1689 0.1137 0.4885 0.3181 0.3049 0.7002 0.1971 0.3071 0.6174 states/eV per atom.